First-principles (meta-GGA SCAN) data for a PBEsol-optimized structure of ScTaBe3, as listed in the Alexandria database.

Calculated values
Spin magnetization ... 0.00 μB/atom
SG ... Pm-3m, No. 221
Energy relative to the elements ... 1018 meV/atom
Fermi-level density of states ... 4.45 states/eV/cell
Crystal system ... cubic

a = 4.379 Å, b = 4.379 Å, c = 4.379 Å
α = 90.00°, β = 90.00°, γ = 90.00°
Positions (direct):
Sc  0.000  0.000  0.000
Ta  0.500  0.500  0.500
Be  0.000  0.500  0.500
Be  0.500  0.000  0.500
Be  0.500  0.500  0.000

---

First-principles (meta-GGA SCAN) data for a PBEsol-optimized structure of ScBeTc2, as listed in the Alexandria database.

Calculated values
Spin magnetization ... 0.00 μB/atom
SG ... R-3m, No. 166
Energy relative to the elements ... 148 meV/atom
Fermi-level density of states ... 3.27 states/eV/cell
Crystal system ... trigonal

a = 7.715 Å, b = 7.715 Å, c = 7.715 Å
α = 21.91°, β = 21.91°, γ = 21.91°
Positions (direct):
Sc  0.000  0.000  0.000
Be  0.500  0.500  0.500
Tc  0.235  0.235  0.235
Tc  0.765  0.765  0.765

---

First-principles (meta-GGA SCAN) data for a PBEsol-optimized structure of ScBe2Tc2, as listed in the Alexandria database.

Calculated values
Spin magnetization ... 0.00 μB/atom
SG ... P4/mbm, No. 127
Energy relative to the elements ... -342 meV/atom
Fermi-level density of states ... 4.09 states/eV/cell
Crystal system ... tetragonal

a = 6.205 Å, b = 6.205 Å, c = 3.182 Å
α = 90.00°, β = 90.00°, γ = 90.00°
Positions (direct):
Sc  0.000  0.000  0.000
Sc  0.500  0.500  0.000
Be  0.115  0.385  0.000
Be  0.385  0.885  0.000
Be  0.615  0.115  0.000
Be  0.885  0.615  0.000
Tc  0.172  0.672  0.500
Tc  0.328  0.172  0.500
Tc  0.672  0.828  0.500
Tc  0.828  0.328  0.500

---

First-principles (meta-GGA SCAN) data for a PBEsol-optimized structure of ScBeTcW2, as listed in the Alexandria database.

Calculated values
Spin magnetization ... 0.00 μB/atom
SG ... P4/mmm, No. 123
Energy relative to the elements ... 2665 meV/atom
Fermi-level density of states ... 4.44 states/eV/cell
Crystal system ... tetragonal

a = 4.548 Å, b = 4.548 Å, c = 4.427 Å
α = 90.00°, β = 90.00°, γ = 90.00°
Positions (direct):
Sc  0.000  0.000  0.000
Be  0.500  0.500  0.500
Tc  0.000  0.000  0.500
W  0.000  0.500  0.000
W  0.500  0.000  0.000